1.
The following is a PBE calculation of a relaxed NdHo2OsO8 crystal, from Alexandria.

Cell and atoms, written as POSCAR:
```
NdHo2OsO8
1.0
5.0629 0.0043 -0.0032
0.0414 5.0601 -0.0056
0.0042 0.0076 6.8660
Ho O Nd Os
2 8 1 1
Direct
0.5000 0.5000 0.7473 Ho
0.5000 0.5000 0.2527 Ho
0.6832 0.6844 0.5000 O
0.3168 0.3156 0.5000 O
0.1859 0.8128 0.7968 O
0.1860 0.8128 0.2032 O
0.2630 0.2616 0.0000 O
0.8140 0.1872 0.7968 O
0.8141 0.1872 0.2032 O
0.7370 0.7384 0.0000 O
0.0000 0.0000 0.5000 Nd
0.0000 0.0000 0.0000 Os
```

* formation energy (no corrections): -2902 kJ/mol of formula units
* total magnetic moment: 1.0 μB per formula unit

---

2.
The following is a PBE calculation of a relaxed NdHoPaO6 crystal, from Alexandria.

Cell and atoms, written as POSCAR:
```
NdHoPaO6
1.0
4.6953 0.0000 0.0000
0.0000 5.8826 0.0000
0.0000 -2.9413 5.0945
Pa Ho O Nd
1 1 6 1
Direct
0.0000 0.3333 0.6667 Pa
0.5000 0.0000 0.0000 Ho
0.7467 0.6543 0.6800 O
0.2533 0.0257 0.6800 O
0.7467 0.0257 0.3457 O
0.7467 0.3200 0.9743 O
0.2533 0.3200 0.3457 O
0.2533 0.6543 0.9743 O
0.5000 0.6667 0.3333 Nd
```

* formation energy (no corrections): -2742 kJ/mol of formula units
* total magnetic moment: 0.7 μB per formula unit

---

3.
The following is a PBE calculation of a relaxed NdHoPbO2 crystal, from Alexandria.

Cell and atoms, written as POSCAR:
```
NdHoPbO2
1.0
-2.6791 -2.2143 -1.7814
1.9042 0.4187 -3.3843
4.2727 -4.9770 4.0421
Ho O Pb Nd
1 2 1 1
Direct
0.1722 0.1722 0.3444 Ho
0.2456 0.7456 0.4912 O
0.7456 0.2456 0.4912 O
0.5035 0.5035 0.0071 Pb
0.8330 0.8330 0.6661 Nd
```

* formation energy (no corrections): -1203 kJ/mol of formula units
* total magnetic moment: 0.0 μB per formula unit

---

4.
The following is a PBE calculation of a relaxed Nd2HoPdO5 crystal, from Alexandria.

Cell and atoms, written as POSCAR:
```
Nd2HoPdO5
1.0
5.9192 0.0000 0.0000
0.0000 6.5900 0.0000
0.0000 0.0000 6.5900
Nd Ho O Pd
4 2 10 2
Direct
0.5000 0.6627 0.1627 Nd
0.5000 0.1627 0.3373 Nd
0.5000 0.3373 0.8373 Nd
0.5000 0.8373 0.6627 Nd
0.0000 0.5000 0.5000 Ho
0.0000 0.0000 0.0000 Ho
0.2347 0.3302 0.1698 O
0.5000 0.5000 0.5000 O
0.2347 0.8302 0.3302 O
0.7653 0.8302 0.3302 O
0.7653 0.1698 0.6698 O
0.7653 0.3302 0.1698 O
0.2347 0.6698 0.8302 O
0.2347 0.1698 0.6698 O
0.7653 0.6698 0.8302 O
0.5000 0.0000 0.0000 O
0.0000 0.5000 0.0000 Pd
0.0000 0.0000 0.5000 Pd
```

* formation energy (no corrections): -2064 kJ/mol of formula units
* total magnetic moment: 1.0 μB per formula unit

---

5.
The following is a PBE calculation of a relaxed NdHoPuO6 crystal, from Alexandria.

Cell and atoms, written as POSCAR:
```
NdHoPuO6
1.0
5.7571 0.0000 0.0000
-2.8786 4.9858 0.0000
0.0000 0.0000 9.7812
Pu O Ho Nd
2 12 2 2
Direct
0.6667 0.3333 0.2500 Pu
0.3333 0.6667 0.7500 Pu
0.6360 0.9759 0.8629 O
0.6602 0.0241 0.3629 O
0.3398 0.9759 0.6371 O
0.6602 0.6360 0.1371 O
0.3640 0.3398 0.3629 O
0.9759 0.6360 0.3629 O
0.9759 0.3398 0.1371 O
0.0241 0.3640 0.6371 O
0.0241 0.6602 0.8629 O
0.3398 0.3640 0.8629 O
0.6360 0.6602 0.6371 O
0.3640 0.0241 0.1371 O
0.3333 0.6667 0.2500 Ho
0.6667 0.3333 0.7500 Ho
0.0000 0.0000 0.5000 Nd
0.0000 0.0000 0.0000 Nd
```

* formation energy (no corrections): -2646 kJ/mol of formula units
* total magnetic moment: 2.0 μB per formula unit

---

6.
The following is a PBE calculation of a relaxed Rb3NdHo2O6 crystal, from Alexandria.

Cell and atoms, written as POSCAR:
```
Rb3NdHo2O6
1.0
6.1534 -0.0012 0.0006
-3.0762 5.3293 0.0006
-1.0258 -1.7762 6.5750
Ho Rb O Nd
2 3 6 1
Direct
0.6667 0.3333 0.0000 Ho
0.3333 0.6667 0.0000 Ho
0.1675 0.8325 0.5000 Rb
0.5000 0.5000 0.5000 Rb
0.8325 0.1675 0.5000 Rb
0.0588 0.4037 0.1765 O
0.5963 0.9412 0.8235 O
0.2861 0.2861 0.8236 O
0.9412 0.5963 0.8235 O
0.7139 0.7139 0.1764 O
0.4037 0.0588 0.1765 O
0.0000 0.0000 0.0000 Nd
```

* formation energy (no corrections): -3072 kJ/mol of formula units
* total magnetic moment: 0.0 μB per formula unit